1.
An optimized crystal structure of Ac2NCl3, computed with PBE.

POSCAR file:
```
Ac2NCl3
1.0
8.453 -2.153 0.000
8.453 2.153 0.000
-5.126 0.000 9.910
Ac N Cl
4 2 6
Direct
0.092 0.092 0.448
0.365 0.365 0.205
0.635 0.635 0.795
0.908 0.908 0.552
0.073 0.073 0.655
0.927 0.927 0.345
0.166 0.166 0.014
0.276 0.276 0.388
0.447 0.447 0.757
0.553 0.553 0.243
0.724 0.724 0.612
0.834 0.834 0.986
```

Properties
Theoretical density in Mg/m³: 5.289
ΔE_f (raw) in eV/atom: -2.13
DOS(E_F) in states/eV per cell: 0.00
Size of the total moment in μB per cell: 0.00


2.
An optimized crystal structure of Ac4N3Cl2, computed with PBE.

POSCAR file:
```
Ac4N3Cl2
1.0
0.000 5.718 13.998
3.273 0.000 13.998
3.273 5.718 0.000
Ac N Cl
8 6 4
Direct
0.019 0.345 0.899
0.101 0.763 0.981
0.237 0.899 0.345
0.345 0.019 0.237
0.655 0.981 0.763
0.763 0.101 0.655
0.899 0.237 0.019
0.981 0.655 0.101
0.125 0.125 0.125
0.127 0.127 0.623
0.377 0.377 0.873
0.623 0.623 0.127
0.873 0.873 0.377
0.875 0.875 0.875
0.277 0.277 0.473
0.473 0.473 0.277
0.527 0.527 0.723
0.723 0.723 0.527
```

Properties
Theoretical density in Mg/m³: 6.471
ΔE_f (raw) in eV/atom: -1.13
DOS(E_F) in states/eV per cell: 7.08
Size of the total moment in μB per cell: 1.84


3.
An optimized crystal structure of Ac2N2Cl, computed with PBE.

POSCAR file:
```
Ac2N2Cl
1.0
4.217 0.000 0.000
-2.109 3.652 0.000
0.000 0.000 7.730
Ac N Cl
2 2 1
Direct
0.333 0.667 0.300
0.667 0.333 0.700
0.333 0.667 0.627
0.667 0.333 0.373
0.000 0.000 0.000
```

Properties
Theoretical density in Mg/m³: 7.217
ΔE_f (raw) in eV/atom: -1.38
DOS(E_F) in states/eV per cell: 4.69
Size of the total moment in μB per cell: 0.00